No. 1
Zn2Hg: optimized geometry, PBE.

Output
Energy of formation from the pure elements   0.092 eV/atom
Electronic total energy   -0.858 eV per atom
Mass density   9.56 g cm⁻³
Symmetry   C2/m, No. 12

abc: 3.006 6.914 6.506
angles: 61.47 90.00 77.45
Atoms (fractional coordinates):
Zn: 0.365 0.269 0.670
Zn: 0.300 0.401 0.998
Zn: 0.978 0.043 0.057
Zn: 0.912 0.175 0.386
Hg: 0.602 0.797 0.737
Hg: 0.676 0.648 0.319

***

No. 2
Pr4ZnIn: optimized geometry, PBE.

Output
Energy of formation from the pure elements   -0.036 eV/atom
Electronic total energy   -3.891 eV per atom
Mass density   6.02 g cm⁻³
Relative energy among the computed polymorphs   0.1934 eV/atom
Symmetry   P4/mmm, No. 123

abc: 5.244 5.245 7.462
angles: 89.96 89.98 90.00
Atoms (fractional coordinates):
Pr: 0.501 0.997 0.263
Pr: 0.501 0.998 0.733
Pr: 0.001 0.497 0.264
Pr: 0.001 0.497 0.733
Zn: 0.001 0.997 0.498
In: 0.501 0.497 0.998